NaNiBPd2: optimized geometry, PBEsol.

a = 4.012 Å, b = 4.012 Å, c = 4.522 Å
α = 90.00°, β = 90.00°, γ = 90.00°
Last column: magnetic moment on the atom in μB.
Element x y z (fractional)
1 Na 0.000 0.000 0.500  -0.01
2 B 0.000 0.000 0.000  0.01
3 Pd 0.500 0.000 0.000  0.01
4 Ni 0.500 0.500 0.500  0.66
5 Pd 0.000 0.500 0.000  0.01

Output
Mass density (g/cm3): 6.97
Total DFT energy (no corrections) (eV/cell): -24.5
Volume (Å³ per cell): 72.78
Formation enthalpy at 0 K (meV per atom): 391
Total moment (μB/cell): 0.645